Record 1
InP3 | the Alexandria database | meta-GGA SCAN | single point on PBEsol structure; formation enthalpy at 0 K = 0.646 eV/atom; magnetic moment = 0.000 μB per cell; volume = 69.3 Å³/cell; electronic total energy = -15.500 eV per atom; density of states at the Fermi level = 0.44 states/eV/atom
1.0
-1.034 -2.805 -0.151
2.925 0.351 -0.531
1.650 -1.060 8.386
In P
1 3
Direct
0.000 0.000 0.000
0.500 0.500 0.697
0.000 0.000 0.500
0.500 0.500 0.303

Record 2
InP3 | the Alexandria database | meta-GGA SCAN | single point on PBEsol structure; formation enthalpy at 0 K = 0.767 eV/atom; magnetic moment = 0.000 μB per cell; volume = 66.4 Å³/cell; electronic total energy = -15.378 eV per atom; density of states at the Fermi level = 0.44 states/eV/atom
1.0
-4.011 -1.229 1.753
-0.249 -1.468 4.296
-1.982 2.583 3.173
In P
1 3
Direct
0.000 0.000 0.000
0.250 0.250 0.250
0.500 0.500 0.500
0.750 0.750 0.750

Record 3
In3P | the Alexandria database | meta-GGA SCAN | single point on PBEsol structure; formation enthalpy at 0 K = 0.080 eV/atom; magnetic moment = 0.000 μB per cell; volume = 96.3 Å³/cell; electronic total energy = -27.559 eV per atom; density of states at the Fermi level = 0.33 states/eV/atom
1.0
-1.211 1.094 -3.202
0.706 -3.278 -1.387
-6.802 -2.232 1.811
In P
3 1
Direct
0.000 0.000 0.028
0.500 0.000 0.366
0.500 0.500 0.772
0.000 0.500 0.501

Record 4
InP3 | the Alexandria database | meta-GGA SCAN | single point on PBEsol structure; formation enthalpy at 0 K = -0.096 eV/atom; magnetic moment = 0.000 μB per cell; volume = 156.5 Å³/cell; electronic total energy = -16.241 eV per atom; density of states at the Fermi level = 0.14 states/eV/atom
1.0
-3.564 -3.718 1.610
3.827 -3.710 0.844
0.538 1.330 5.202
P In
6 2
Direct
0.795 0.795 0.241
0.241 0.795 0.795
0.795 0.241 0.795
0.205 0.205 0.759
0.205 0.759 0.205
0.759 0.205 0.205
0.274 0.274 0.274
0.726 0.726 0.726

Record 5
InP2 | the Alexandria database | meta-GGA SCAN | single point on PBEsol structure; formation enthalpy at 0 K = 0.634 eV/atom; magnetic moment = 0.000 μB per cell; volume = 106.8 Å³/cell; electronic total energy = -17.427 eV per atom; density of states at the Fermi level = 0.59 states/eV/atom
1.0
5.325 0.000 0.000
2.662 4.612 0.000
2.662 1.537 4.348
In P
2 4
Direct
0.500 0.500 0.500
0.750 0.750 0.750
0.125 0.125 0.125
0.125 0.125 0.625
0.125 0.625 0.125
0.625 0.125 0.125

Record 6
InP2 | the Alexandria database | meta-GGA SCAN | single point on PBEsol structure; formation enthalpy at 0 K = 0.269 eV/atom; magnetic moment = 0.000 μB per cell; volume = 117.6 Å³/cell; electronic total energy = -17.792 eV per atom; density of states at the Fermi level = 0.32 states/eV/atom
1.0
-2.643 1.155 -1.528
-0.872 -3.217 -0.923
-5.955 -2.631 8.313
In P
2 4
Direct
0.250 0.125 0.749
0.750 0.875 0.251
0.250 0.465 0.070
0.750 0.535 0.930
0.250 0.741 0.518
0.750 0.259 0.482

Record 7
InP3 | the Alexandria database | meta-GGA SCAN | single point on PBEsol structure; formation enthalpy at 0 K = 0.576 eV/atom; magnetic moment = 0.000 μB per cell; volume = 72.2 Å³/cell; electronic total energy = -15.569 eV per atom; density of states at the Fermi level = 0.43 states/eV/atom
1.0
-1.590 1.770 -2.228
2.111 -1.261 -2.509
-3.993 -4.787 -0.954
In P
1 3
Direct
0.000 0.000 0.000
0.500 0.500 0.674
0.000 0.000 0.500
0.500 0.500 0.326

Record 8
In3P | the Alexandria database | meta-GGA SCAN | single point on PBEsol structure; formation enthalpy at 0 K = -0.036 eV/atom; magnetic moment = 0.000 μB per cell; volume = 94.7 Å³/cell; electronic total energy = -27.676 eV per atom; density of states at the Fermi level = 0.27 states/eV/atom
1.0
-2.898 0.391 -2.501
0.175 -3.100 2.273
-3.083 5.531 4.437
In P
3 1
Direct
0.500 0.000 0.500
0.737 0.474 0.208
0.263 0.526 0.792
0.000 0.000 0.000